[1]
Here is a geometry-optimized NaP2Br6 structure from Alexandria via LeMat-Bulk. Energies are from PBE.

Geometry as CIF:
```
data_NaP2Br6
_chemical_formula_sum 'Na1 P2 Br6'
_cell_length_a 8.236
_cell_length_b 8.236
_cell_length_c 8.236
_cell_angle_alpha 53.80
_cell_angle_beta 53.80
_cell_angle_gamma 53.80
_symmetry_space_group_name_H-M 'P 1'
_symmetry_Int_Tables_number 1
loop_
_symmetry_equiv_pos_as_xyz
'x,y,z'
loop_
_atom_site_label
_atom_site_fract_x
_atom_site_fract_y
_atom_site_fract_z
_atom_site_occupancy
Na1 0.000 0.000 0.000 1
P1 0.284 0.284 0.284 1
P2 0.400 0.400 0.400 1
Br1 0.053 0.422 0.712 1
Br2 0.222 0.962 0.553 1
Br3 0.422 0.712 0.053 1
Br4 0.553 0.222 0.962 1
Br5 0.712 0.053 0.422 1
Br6 0.962 0.553 0.222 1
```

Values from the calculation:
The crystal system is trigonal. The calculation puts the energy relative to the elements, uncorrected at -0.412 eV per atom.

---

[2]
Here is a geometry-optimized LiHoThAg structure from Alexandria via LeMat-Bulk. Energies are from PBE.

Geometry as CIF:
```
data_LiHoThAg
_chemical_formula_sum 'Li1 Ho1 Th1 Ag1'
_cell_length_a 5.221
_cell_length_b 5.221
_cell_length_c 5.221
_cell_angle_alpha 60.00
_cell_angle_beta 60.00
_cell_angle_gamma 60.00
_symmetry_space_group_name_H-M 'P 1'
_symmetry_Int_Tables_number 1
loop_
_symmetry_equiv_pos_as_xyz
'x,y,z'
loop_
_atom_site_label
_atom_site_fract_x
_atom_site_fract_y
_atom_site_fract_z
_atom_site_occupancy
Li1 0.000 0.000 0.000 1
Ho1 0.250 0.250 0.250 1
Th1 0.750 0.750 0.750 1
Ag1 0.500 0.500 0.500 1
```

Values from the calculation:
The crystal system is cubic. The calculation puts the uncorrected energy at -16.507 eV per cell.

---

[3]
Here is a geometry-optimized Pr2CuSb4Pt3 structure from Alexandria via LeMat-Bulk. Energies are from PBE.

Geometry as CIF:
```
data_Pr2CuSb4Pt3
_chemical_formula_sum 'Pr2 Cu1 Sb4 Pt3'
_cell_length_a 4.619
_cell_length_b 4.619
_cell_length_c 10.745
_cell_angle_alpha 90.00
_cell_angle_beta 90.00
_cell_angle_gamma 90.00
_symmetry_space_group_name_H-M 'P 1'
_symmetry_Int_Tables_number 1
loop_
_symmetry_equiv_pos_as_xyz
'x,y,z'
loop_
_atom_site_label
_atom_site_fract_x
_atom_site_fract_y
_atom_site_fract_z
_atom_site_occupancy
Pr1 0.000 0.500 0.236 1
Pr2 0.500 0.000 0.764 1
Cu1 0.500 0.500 0.000 1
Sb1 0.000 0.000 0.500 1
Sb2 0.000 0.500 0.874 1
Sb3 0.500 0.000 0.126 1
Sb4 0.500 0.500 0.500 1
Pt1 0.000 0.000 0.000 1
Pt2 0.000 0.500 0.631 1
Pt3 0.500 0.000 0.369 1
```

Values from the calculation:
The crystal system is tetragonal. The calculation puts the energy relative to the elements, uncorrected at -0.747 eV per atom.

---

[4]
Here is a geometry-optimized SrLiGaCu2 structure from Alexandria via LeMat-Bulk. Energies are from PBE.

Geometry as CIF:
```
data_SrLiGaCu2
_chemical_formula_sum 'Sr1 Li1 Ga1 Cu2'
_cell_length_a 4.698
_cell_length_b 4.698
_cell_length_c 4.826
_cell_angle_alpha 90.00
_cell_angle_beta 90.00
_cell_angle_gamma 90.00
_symmetry_space_group_name_H-M 'P 1'
_symmetry_Int_Tables_number 1
loop_
_symmetry_equiv_pos_as_xyz
'x,y,z'
loop_
_atom_site_label
_atom_site_fract_x
_atom_site_fract_y
_atom_site_fract_z
_atom_site_occupancy
Sr1 0.000 0.000 0.000 1
Li1 0.500 0.500 0.000 1
Ga1 0.500 0.500 0.500 1
Cu1 0.000 0.500 0.500 1
Cu2 0.500 0.000 0.500 1
```

Values from the calculation:
The energy above the most stable polymorph in this dataset comes out at 148 meV/atom. The crystal system is tetragonal.

---

[5]
Here is a geometry-optimized Ca3Ag2Rh structure from Alexandria via LeMat-Bulk. Energies are from PBE.

Geometry as CIF:
```
data_Ca3Ag2Rh
_chemical_formula_sum 'Ca6 Ag4 Rh2'
_cell_length_a 8.018
_cell_length_b 8.018
_cell_length_c 7.344
_cell_angle_alpha 90.00
_cell_angle_beta 90.00
_cell_angle_gamma 143.08
_symmetry_space_group_name_H-M 'P 1'
_symmetry_Int_Tables_number 1
loop_
_symmetry_equiv_pos_as_xyz
'x,y,z'
loop_
_atom_site_label
_atom_site_fract_x
_atom_site_fract_y
_atom_site_fract_z
_atom_site_occupancy
Ca1 0.000 0.000 0.235 1
Ca2 0.000 0.000 0.765 1
Ca3 0.327 0.673 0.228 1
Ca4 0.327 0.673 0.772 1
Ca5 0.673 0.327 0.228 1
Ca6 0.673 0.327 0.772 1
Ag1 0.164 0.836 0.500 1
Ag2 0.500 0.500 0.000 1
Ag3 0.500 0.500 0.500 1
Ag4 0.836 0.164 0.500 1
Rh1 0.162 0.838 0.000 1
Rh2 0.838 0.162 0.000 1
```

Values from the calculation:
The crystal system is orthorhombic. The calculation puts the uncorrected energy at -42.117 eV per cell.

---

[6]
Here is a geometry-optimized RbPmMn2Cl8 structure from Alexandria via LeMat-Bulk. Energies are from PBE.

Geometry as CIF:
```
data_RbPmMn2Cl8
_chemical_formula_sum 'Rb1 Pm1 Mn2 Cl8'
_cell_length_a 11.150
_cell_length_b 11.150
_cell_length_c 11.150
_cell_angle_alpha 33.93
_cell_angle_beta 33.93
_cell_angle_gamma 33.93
_symmetry_space_group_name_H-M 'P 1'
_symmetry_Int_Tables_number 1
loop_
_symmetry_equiv_pos_as_xyz
'x,y,z'
loop_
_atom_site_label
_atom_site_fract_x
_atom_site_fract_y
_atom_site_fract_z
_atom_site_occupancy
Rb1 0.000 0.000 0.000 1
Pm1 0.500 0.500 0.500 1
Mn1 0.248 0.248 0.248 1
Mn2 0.752 0.752 0.752 1
Cl1 0.124 0.435 0.773 1
Cl2 0.227 0.565 0.876 1
Cl3 0.320 0.320 0.320 1
Cl4 0.435 0.773 0.124 1
Cl5 0.565 0.876 0.227 1
Cl6 0.680 0.680 0.680 1
Cl7 0.773 0.124 0.435 1
Cl8 0.876 0.227 0.565 1
```

Values from the calculation:
The crystal system is trigonal. The calculation puts the energy relative to the elements, uncorrected at -1.593 eV per atom.

---

[7]
Here is a geometry-optimized Ac2AlPb structure from Alexandria via LeMat-Bulk. Energies are from PBE.

Geometry as CIF:
```
data_Ac2AlPb
_chemical_formula_sum 'Ac4 Al2 Pb2'
_cell_length_a 6.692
_cell_length_b 4.519
_cell_length_c 9.687
_cell_angle_alpha 90.00
_cell_angle_beta 107.86
_cell_angle_gamma 90.00
_symmetry_space_group_name_H-M 'P 1'
_symmetry_Int_Tables_number 1
loop_
_symmetry_equiv_pos_as_xyz
'x,y,z'
loop_
_atom_site_label
_atom_site_fract_x
_atom_site_fract_y
_atom_site_fract_z
_atom_site_occupancy
Ac1 0.201 0.250 0.423 1
Ac2 0.277 0.750 0.064 1
Ac3 0.723 0.250 0.936 1
Ac4 0.799 0.750 0.577 1
Al1 0.142 0.250 0.786 1
Al2 0.858 0.750 0.214 1
Pb1 0.367 0.750 0.712 1
Pb2 0.633 0.250 0.288 1
```

Values from the calculation:
The crystal system is monoclinic. The calculation puts the uncorrected energy at -34.772 eV per cell.

---

[8]
Here is a geometry-optimized SmMgIrAu structure from Alexandria via LeMat-Bulk. Energies are from PBE.

Geometry as CIF:
```
data_SmMgIrAu
_chemical_formula_sum 'Sm1 Mg1 Ir1 Au1'
_cell_length_a 4.856
_cell_length_b 4.856
_cell_length_c 4.856
_cell_angle_alpha 60.00
_cell_angle_beta 60.00
_cell_angle_gamma 60.00
_symmetry_space_group_name_H-M 'P 1'
_symmetry_Int_Tables_number 1
loop_
_symmetry_equiv_pos_as_xyz
'x,y,z'
loop_
_atom_site_label
_atom_site_fract_x
_atom_site_fract_y
_atom_site_fract_z
_atom_site_occupancy
Sm1 0.000 0.000 0.000 1
Mg1 0.500 0.500 0.500 1
Ir1 0.750 0.750 0.750 1
Au1 0.250 0.250 0.250 1
```

Values from the calculation:
The crystal system is cubic. The calculation puts the uncorrected energy at -20.604 eV per cell.